An optimized crystal structure of CdFePd5, computed with PBE.

Structure (POSCAR):
```
CdFePd5
1.0
7.217 0.000 0.000
0.000 5.172 0.000
-3.608 -2.586 3.484
Fe Pd Cd
1 5 1
Direct
0.120 0.000 0.000 Fe
0.117 0.500 0.000 Pd
0.445 0.759 0.000 Pd
0.005 0.186 0.371 Pd
0.445 0.241 0.000 Pd
0.633 0.814 0.629 Pd
0.764 0.500 0.000 Cd
```

As for the energy above the most stable polymorph in this dataset: 238.1 kJ/mol of formula units. The calculation puts the formation energy at 0.29 eV/atom. The space group is No. 44. The spin magnetization comes out at 0.64 μB per atom.

---

An optimized crystal structure of La3BN, computed with PBE.

Structure (POSCAR):
```
La3BN
1.0
-0.547 1.113 4.790
-1.394 -4.657 0.922
4.716 -1.247 0.829
La N B
3 1 1
Direct
0.000 0.000 0.500 La
0.000 0.500 0.000 La
0.500 0.000 0.000 La
0.000 0.000 0.000 N
0.500 0.500 0.500 B
```

Its formation energy (no corrections) is -0.19 eV/atom. As for the energy above the most stable polymorph in this dataset: 0.0 kJ/mol of formula units. The space group is No. 221. The spin magnetization comes out at 0.00 μB per atom.

---

An optimized crystal structure of Si4HgAu, computed with PBE.

Structure (POSCAR):
```
Si4HgAu
1.0
0.000 3.756 3.756
3.756 0.000 3.756
3.756 3.756 0.000
Si Au Hg
4 1 1
Direct
0.375 0.375 0.874 Si
0.874 0.375 0.375 Si
0.375 0.375 0.375 Si
0.375 0.874 0.375 Si
0.750 0.750 0.750 Au
0.000 0.000 0.000 Hg
```

Its formation energy (no corrections) is 0.58 eV/atom. The space group is No. 216. The spin magnetization comes out at 0.00 μB per atom.